(1)
A plane-wave DFT calculation with PBE-GGA was carried out for MnGaSiRhSe after structural relaxation.

## Properties
Crystal system   monoclinic
Relative energy among the computed polymorphs   0.372 eV per formula unit
Total DFT energy (no corrections)   -29.5 eV for the cell shown
Volume   82.3 Å³/cell
Fermi-level density of states   2.2 states/eV/cell
Formation energy from raw total energies   -1.0 eV/f.u.
SG   Pm

a b c (Å): 4.0750 2.9376 6.8940
angles (deg): 90.00 94.61 90.00
Each line ends with the local moment (μB).
Sites, in units of the cell vectors:
Se: 0.5401 0.0000 0.4374  0.00
Ga: 0.9545 0.0000 0.1476  -0.06
Rh: 0.6322 0.0000 0.8063  0.09
Si: 0.1449 0.5000 0.8487  -0.02
Mn: 0.4496 0.5000 0.1691  1.86

---

(2)
A plane-wave DFT calculation with PBE-GGA was carried out for CsSn3Sb3 after structural relaxation.

## Properties
Crystal system   cubic
Relative energy among the computed polymorphs   0.000 eV per formula unit
Total DFT energy (no corrections)   -51.1 eV for the cell shown
Volume   607.9 Å³/cell
Fermi-level density of states   10.2 states/eV/cell
Formation energy from raw total energies   -0.3 eV/f.u.
SG   Pm-3n

a b c (Å): 8.4710 8.4710 8.4710
angles (deg): 90.00 90.00 90.00
Sites, in units of the cell vectors:
Sb: 0.0000 0.2500 0.5000
Sb: 0.5000 0.0000 0.7500
Sb: 0.5000 0.0000 0.2500
Sb: 0.0000 0.7500 0.5000
Sb: 0.7500 0.5000 0.0000
Sb: 0.2500 0.5000 0.0000
Sn: 0.0000 0.5000 0.2500
Sn: 0.7500 0.0000 0.5000
Sn: 0.0000 0.5000 0.7500
Sn: 0.2500 0.0000 0.5000
Sn: 0.5000 0.2500 0.0000
Sn: 0.5000 0.7500 0.0000
Cs: 0.0000 0.0000 0.0000
Cs: 0.5000 0.5000 0.5000

---

(3)
A plane-wave DFT calculation with PBE-GGA was carried out for Er3PaCo3 after structural relaxation.

## Properties
Crystal system   monoclinic
Total DFT energy (no corrections)   -92.7 eV for the cell shown
Volume   290.7 Å³/cell
ΔE_f   -261 meV per atom
Fermi-level density of states   10.6 states/eV/cell
SG   C2/m

a b c (Å): 3.6777 6.3395 13.1592
angles (deg): 87.55 81.97 73.14
Sites, in units of the cell vectors:
Co: 0.0890 0.8912 0.9307
Co: 0.1241 0.2888 0.4630
Co: 0.8759 0.7112 0.5370
Co: 0.9376 0.8876 0.2371
Co: 0.0624 0.1124 0.7629
Co: 0.9110 0.1088 0.0693
Er: 0.7305 0.7330 0.8061
Er: 0.5931 0.7358 0.0780
Er: 0.4069 0.2642 0.9220
Er: 0.2695 0.2670 0.1939
Er: 0.5181 0.5993 0.3646
Er: 0.4819 0.4007 0.6354
Pa: 0.2190 0.9524 0.6096
Pa: 0.7810 0.0476 0.3904